# Er4CS3 PBE relaxed
# V: 19.49 Å³ per atom
# E_form (uncorrected): -1.678 eV per atom
# E: -6.66 eV per atom
# space-group type: No. 65
data_Er4CS3
_chemical_formula_sum 'Er4 C1 S3'
_space_group_name_H-M_alt 'P 1'
_space_group_IT_number 1
_cell_length_a 6.6244
_cell_length_b 6.6244
_cell_length_c 3.7568
_cell_angle_alpha 90.00
_cell_angle_beta 90.00
_cell_angle_gamma 108.91
loop_
_space_group_symop_operation_xyz
'x,y,z'
loop_
_atom_site_label
_atom_site_type_symbol
_atom_site_fract_x
_atom_site_fract_y
_atom_site_fract_z
Er1 Er 0.2184 0.2184 0.5000
Er2 Er 0.2303 0.7697 0.0000
Er3 Er 0.7697 0.2303 0.0000
Er4 Er 0.7816 0.7816 0.5000
C1 C 0.0000 0.0000 0.0000
S1 S 0.0000 0.5000 0.5000
S2 S 0.5000 0.0000 0.5000
S3 S 0.5000 0.5000 0.0000

---

# Er6C2S PBE relaxed
# V: 23.03 Å³ per atom
# E_form (uncorrected): -0.649 eV per atom
# E: -6.20 eV per atom
# space-group type: No. 12
data_Er6C2S
_chemical_formula_sum 'Er6 C2 S1'
_space_group_name_H-M_alt 'P 1'
_space_group_IT_number 1
_cell_length_a 8.0785
_cell_length_b 8.0785
_cell_length_c 7.4560
_cell_angle_alpha 102.75
_cell_angle_beta 102.75
_cell_angle_gamma 25.94
loop_
_space_group_symop_operation_xyz
'x,y,z'
loop_
_atom_site_label
_atom_site_type_symbol
_atom_site_fract_x
_atom_site_fract_y
_atom_site_fract_z
Er1 Er 0.0102 0.0102 0.2666
Er2 Er 0.3258 0.3258 0.8836
Er3 Er 0.3299 0.3299 0.4355
Er4 Er 0.6701 0.6701 0.5645
Er5 Er 0.6742 0.6742 0.1164
Er6 Er 0.9898 0.9898 0.7334
C1 C 0.1678 0.1678 0.3359
C2 C 0.8322 0.8322 0.6641
S1 S 0.5000 0.5000 0.0000

---

# ErCS PBE relaxed
# V: 17.36 Å³ per atom
# E_form (uncorrected): -0.436 eV per atom
# energy relative to the lowest polymorph listed for this composition: 520 meV per atom
# E: -6.41 eV per atom
# space-group type: No. 12
data_ErCS
_chemical_formula_sum 'Er2 C2 S2'
_space_group_name_H-M_alt 'P 1'
_space_group_IT_number 1
_cell_length_a 3.8738
_cell_length_b 3.8738
_cell_length_c 7.0790
_cell_angle_alpha 93.77
_cell_angle_beta 93.77
_cell_angle_gamma 79.68
loop_
_space_group_symop_operation_xyz
'x,y,z'
loop_
_atom_site_label
_atom_site_type_symbol
_atom_site_fract_x
_atom_site_fract_y
_atom_site_fract_z
Er1 Er 0.2194 0.2194 0.1756
Er2 Er 0.7806 0.7806 0.8244
C1 C 0.2014 0.2014 0.8461
C2 C 0.7986 0.7986 0.1539
S1 S 0.3471 0.3471 0.6452
S2 S 0.6529 0.6529 0.3548